Version i
Computed, not measured: a geometry-optimized La2SmMg structure at the GGA-PBE level of DFT.

The structure belongs to space group C2/m (No. 12); the cell edges are 7.5825, 7.5786 and 9.9481 Å and the angles 90.00°, 112.39° and 90.00°. Symmetry generates all atoms from La at (0.1359, 0.0000, 0.2709), La at (0.2500, 0.2500, 0.0000), Sm at (0.1393, 0.5000, 0.2781) and Mg at (0.0000, 0.2501, 0.5000).

---

Version ii
Computed, not measured: a geometry-optimized La2SmMg structure at the GGA-PBE level of DFT.

The structure belongs to space group R-3m (No. 166, hexagonal axes); the cell edges are 3.5519, 3.5519 and 38.4375 Å and the angles 90.00°, 90.00° and 120.00°. Symmetry generates all atoms from La at (0.0000, 0.0000, 0.0890), Sm at (0.0000, 0.0000, 0.5000) and Mg at (0.0000, 0.0000, 0.0000).

---

The data favor version i; the next most stable structure lies 0.233 eV/atom above it.

---

Version i
Computed, not measured: a geometry-optimized La2SmMg structure at the GGA-PBE level of DFT.

The structure belongs to space group Fm-3m (No. 225); the cell edges are 8.1086, 8.1086 and 8.1086 Å and the angles 90.00°, 90.00° and 90.00°. Symmetry generates all atoms from La at (0.2500, 0.2500, 0.2500), Sm at (0.0000, 0.0000, 0.0000) and Mg at (0.0000, 0.0000, 0.5000).

---

Version ii
Computed, not measured: a geometry-optimized La2SmMg structure at the GGA-PBE level of DFT.

The structure belongs to space group P4/mmm (No. 123); the cell edges are 3.8133, 3.8133 and 9.2151 Å and the angles 90.00°, 90.00° and 90.00°. Symmetry generates all atoms from La at (0.0000, 0.0000, 0.2301), Sm at (0.5000, 0.5000, 0.5000) and Mg at (0.5000, 0.5000, 0.0000).

---

Version iii
Computed, not measured: a geometry-optimized La2SmMg structure at the GGA-PBE level of DFT.

The structure belongs to space group R3m (No. 160, hexagonal axes); the cell edges are 3.6512, 3.6512 and 35.0381 Å and the angles 90.00°, 90.00° and 120.00°. Symmetry generates all atoms from La at (0.0000, 0.0000, 0.0000), La at (0.0000, 0.0000, 0.1724), Sm at (0.0000, 0.0000, 0.4191) and Mg at (0.0000, 0.0000, 0.5863).

---

The data favor version ii; the next most stable structure lies 0.057 eV/atom above it.

---

Version i
Computed, not measured: a geometry-optimized La2Sm3Mg structure at the GGA-PBE level of DFT.

The structure belongs to space group Cmcm (No. 63); the cell edges are 10.6012, 13.3960 and 5.6002 Å and the angles 90.00°, 90.00° and 90.00°. Symmetry generates all atoms from La at (0.1603, 0.1821, 0.2500), Sm at (0.0000, 0.0654, 0.7500), Sm at (0.1589, 0.4383, 0.2500) and Mg at (0.0000, 0.3307, 0.7500).

---

Version ii
Computed, not measured: a geometry-optimized La2Sm3Mg structure at the GGA-PBE level of DFT.

The structure belongs to space group Imm2 (No. 44); the cell edges are 6.3011, 10.2813 and 6.1489 Å and the angles 90.00°, 90.00° and 90.00°. Symmetry generates all atoms from La at (0.0000, 0.1622, 0.0000), Sm at (0.0000, 0.0000, 0.5135), Sm at (0.0000, 0.3468, 0.3855) and Mg at (0.0000, 0.5000, 0.8582).

---

The data favor version i; the next most stable structure lies 0.248 eV/atom above it.

---

Version i
Computed, not measured: a geometry-optimized La2Sm6Mg structure at the GGA-PBE level of DFT.

The structure belongs to space group C2/c (No. 15); the cell edges are 8.7912, 21.2427 and 6.8237 Å and the angles 90.00°, 107.53° and 90.00°. Symmetry generates all atoms from La at (0.1035, 0.1388, 0.0641), Sm at (0.0262, 0.4158, 0.5177), Sm at (0.1831, 0.0216, 0.6822), Sm at (0.2016, 0.2958, 0.2728) and Mg at (0.0000, 0.2830, 0.7500).

---

Version ii
Computed, not measured: a geometry-optimized La2Sm6Mg structure at the GGA-PBE level of DFT.

The structure belongs to space group P-6m2 (No. 187); the cell edges are 3.6257, 3.6257 and 26.8672 Å and the angles 90.00°, 90.00° and 120.00°. Symmetry generates all atoms from La at (0.0000, 0.0000, 0.1729), Sm at (0.0000, 0.0000, 0.3970), Sm at (0.6667, 0.3333, 0.0632), Sm at (0.6667, 0.3333, 0.2900) and Mg at (0.6667, 0.3333, 0.5000).

---

The data favor version ii; the next most stable structure lies 0.018 eV/atom above it.

---

Version i
Computed, not measured: a geometry-optimized LaSm2Mg structure at the GGA-PBE level of DFT.

The structure belongs to space group Fm-3m (No. 225); the cell edges are 8.0121, 8.0121 and 8.0121 Å and the angles 90.00°, 90.00° and 90.00°. Symmetry generates all atoms from La at (0.0000, 0.0000, 0.0000), Sm at (0.2500, 0.2500, 0.2500) and Mg at (0.0000, 0.0000, 0.5000).

---

Version ii
Computed, not measured: a geometry-optimized LaSm2Mg structure at the GGA-PBE level of DFT.

The structure belongs to space group P4/mmm (No. 123); the cell edges are 3.7650, 3.7650 and 9.0397 Å and the angles 90.00°, 90.00° and 90.00°. Symmetry generates all atoms from La at (0.0000, 0.0000, 0.0000), Sm at (0.5000, 0.5000, 0.2787) and Mg at (0.0000, 0.0000, 0.5000).

---

The data favor version ii; the next most stable structure lies 0.121 eV/atom above it.

---

Version i
Computed, not measured: a geometry-optimized La2Sm7Mg2 structure at the GGA-PBE level of DFT.

The structure belongs to space group C2/m (No. 12); the cell edges are 8.8425, 9.9013 and 8.7488 Å and the angles 90.00°, 108.82° and 90.00°. Symmetry generates all atoms from La at (0.0000, 0.1800, 0.0000), Sm at (0.0000, 0.5000, 0.5000), Sm at (0.1401, 0.5000, 0.9132), Sm at (0.2072, 0.1774, 0.6751) and Mg at (0.1159, 0.0000, 0.3375).

---

Version ii
Computed, not measured: a geometry-optimized La2Sm7Mg2 structure at the GGA-PBE level of DFT.

The structure belongs to space group Immm (No. 71); the cell edges are 3.8079, 11.3303 and 17.2269 Å and the angles 90.00°, 90.00° and 90.00°. Symmetry generates all atoms from La at (0.0000, 0.1894, 0.0000), Sm at (0.0000, 0.0000, 0.1852), Sm at (0.0000, 0.0000, 0.5000), Sm at (0.0000, 0.2304, 0.3346) and Mg at (0.0000, 0.5000, 0.1581).

---

The data favor version ii; the next most stable structure lies 0.010 eV/atom above it.

---

Version i
Computed, not measured: a geometry-optimized La7Sm2Mg2 structure at the GGA-PBE level of DFT.

The structure belongs to space group C2/m (No. 12); the cell edges are 10.8874, 11.7880 and 6.2614 Å and the angles 90.00°, 111.85° and 90.00°. Symmetry generates all atoms from La at (0.0000, 0.0000, 0.0000), La at (0.0860, 0.5000, 0.7966), La at (0.1773, 0.2475, 0.1705), Sm at (0.2027, 0.0000, 0.5877) and Mg at (0.0000, 0.2291, 0.5000).

---

Version ii
Computed, not measured: a geometry-optimized La7Sm2Mg2 structure at the GGA-PBE level of DFT.

The structure belongs to space group C2/m (No. 12); the cell edges are 9.2250, 10.2998 and 8.1992 Å and the angles 90.00°, 100.17° and 90.00°. Symmetry generates all atoms from La at (0.0000, 0.0000, 0.0000), La at (0.1659, 0.5000, 0.4752), La at (0.1980, 0.2796, 0.1828), Sm at (0.0000, 0.1696, 0.5000) and Mg at (0.1048, 0.5000, 0.8694).

---

The data favor version i; the next most stable structure lies 0.034 eV/atom above it.

---

Version i
Computed, not measured: a geometry-optimized LaSmMg structure at the GGA-PBE level of DFT.

The structure belongs to space group P3m1 (No. 156); the cell edges are 5.6065, 5.6065 and 3.4390 Å and the angles 90.00°, 90.00° and 120.00°. Symmetry generates all atoms from La at (0.0000, 0.0000, 0.0000), Sm at (0.3333, 0.6667, 0.4200) and Mg at (0.6667, 0.3333, 0.6848).

---

Version ii
Computed, not measured: a geometry-optimized LaSmMg structure at the GGA-PBE level of DFT.

The structure belongs to space group I4mm (No. 107); the cell edges are 3.8397, 3.8397 and 13.0372 Å and the angles 90.00°, 90.00° and 90.00°. Symmetry generates all atoms from La at (0.0000, 0.0000, 0.0000), Sm at (0.0000, 0.0000, 0.6889) and Mg at (0.0000, 0.0000, 0.3374).

---

The data favor version ii; the next most stable structure lies 0.069 eV/atom above it.

---

Version i
Computed, not measured: a geometry-optimized LaSmMg structure at the GGA-PBE level of DFT.

The structure belongs to space group Cmcm (No. 63); the cell edges are 5.4229, 13.0270 and 5.4262 Å and the angles 90.00°, 90.00° and 90.00°. Symmetry generates all atoms from La at (0.0000, 0.0906, 0.2500), Sm at (0.0000, 0.4035, 0.2500) and Mg at (0.0000, 0.2494, 0.7500).

---

Version ii
Computed, not measured: a geometry-optimized LaSmMg structure at the GGA-PBE level of DFT.

The structure belongs to space group I4_1md (No. 109); the cell edges are 6.2010, 6.2010 and 10.2995 Å and the angles 90.00°, 90.00° and 90.00°. Symmetry generates all atoms from La at (0.0000, 0.0000, 0.0000), Sm at (0.0000, 0.0000, 0.6479) and Mg at (0.0000, 0.0000, 0.3344).

---

The data favor version i; the next most stable structure lies 0.318 eV/atom above it.

---

Version i
Computed, not measured: a geometry-optimized La4SmMg structure at the GGA-PBE level of DFT.

The structure belongs to space group P4/mmm (No. 123); the cell edges are 3.7661, 3.7661 and 14.5567 Å and the angles 90.00°, 90.00° and 90.00°. Symmetry generates all atoms from La at (0.0000, 0.0000, 0.1515), La at (0.5000, 0.5000, 0.3254), Sm at (0.0000, 0.0000, 0.5000) and Mg at (0.5000, 0.5000, 0.0000).

---

Version ii
Computed, not measured: a geometry-optimized La4SmMg structure at the GGA-PBE level of DFT.

The structure belongs to space group Cmc2_1 (No. 36); the cell edges are 5.7105, 12.5557 and 11.5812 Å and the angles 90.00°, 90.00° and 90.00°. Symmetry generates all atoms from La at (0.0000, 0.0032, 0.0000), La at (0.0000, 0.1816, 0.2544), La at (0.0000, 0.3180, 0.9726), La at (0.0000, 0.4829, 0.2547), Sm at (0.0000, 0.3215, 0.5346) and Mg at (0.0000, 0.1531, 0.7471).

---

The data favor version i; the next most stable structure lies 0.027 eV/atom above it.

---

Version i
Computed, not measured: a geometry-optimized LaSm3Mg structure at the GGA-PBE level of DFT.

The structure belongs to space group C2/m (No. 12); the cell edges are 13.3867, 3.7846 and 12.9818 Å and the angles 90.00°, 93.53° and 90.00°. Symmetry generates all atoms from La at (0.2333, 0.0000, 0.2551), Sm at (0.0377, 0.0000, 0.6880), Sm at (0.1339, 0.5000, 0.4744), Sm at (0.1490, 0.0000, 0.9453) and Mg at (0.0521, 0.5000, 0.1247).

---

Version ii
Computed, not measured: a geometry-optimized LaSm3Mg structure at the GGA-PBE level of DFT.

The structure belongs to space group P2_1/m (No. 11); the cell edges are 3.6742, 11.3028 and 8.7388 Å and the angles 90.00°, 102.02° and 90.00°. Symmetry generates all atoms from La at (0.0126, 0.2500, 0.0336), Sm at (0.1580, 0.5095, 0.3136), Sm at (0.2990, 0.7500, 0.5973) and Mg at (0.3527, 0.2500, 0.7090).

---

The data favor version i; the next most stable structure lies 0.179 eV/atom above it.

---

Version i
Computed, not measured: a geometry-optimized LaSmTmMg structure at the GGA-PBE level of DFT.

The structure belongs to space group P4mm (No. 99); the cell edges are 3.7414, 3.7414 and 8.8803 Å and the angles 90.00°, 90.00° and 90.00°. Symmetry generates all atoms from La at (0.0000, 0.0000, 0.0000), Sm at (0.5000, 0.5000, 0.7123), Tm at (0.5000, 0.5000, 0.2748) and Mg at (0.0000, 0.0000, 0.4847).

---

Version ii
Computed, not measured: a geometry-optimized LaSmTmMg structure at the GGA-PBE level of DFT.

The structure belongs to space group F-43m (No. 216); the cell edges are 7.9301, 7.9301 and 7.9301 Å and the angles 90.00°, 90.00° and 90.00°. Symmetry generates all atoms from La at (0.0000, 0.0000, 0.0000), Sm at (0.0000, 0.0000, 0.5000), Tm at (0.2500, 0.2500, 0.7500) and Mg at (0.2500, 0.2500, 0.2500).

---

The data favor version i; the next most stable structure lies 0.027 eV/atom above it.